Entry 1:
This record from the Alexandria database describes an optimized crystal structure of DyLuHgAu. The functional is GGA-PBE.

It has space group F-43m (No. 216), with a = 7.2483 Å, b = 7.2483 Å, c = 7.2483 Å, α = 90.00°, β = 90.00° and γ = 90.00°. The inequivalent atoms are Dy at (0.0000, 0.0000, 0.0000), Lu at (0.0000, 0.0000, 0.5000), Hg at (0.2500, 0.2500, 0.7500) and Au at (0.2500, 0.2500, 0.2500).

The theoretical density comes out at 12820 kg/m³. As for the total energy: -61.48 eV per cell. As for the energy relative to the elements: -667 meV/atom. As for the crystal system: cubic. As for the total magnetic moment: 0.0 μB/cell.

---

Entry 2:
This record from the Alexandria database describes an optimized crystal structure of CrSiAs. The functional is GGA-PBE.

It has space group I4mm (No. 107), with a = 3.1926 Å, b = 3.1926 Å, c = 7.9416 Å, α = 90.00°, β = 90.00° and γ = 90.00°. The inequivalent atoms are Cr at (0.0000, 0.0000, 0.0000), Si at (0.0000, 0.0000, 0.3461) and As at (0.0000, 0.0000, 0.6679).

The theoretical density comes out at 6359 kg/m³. As for the total energy: -39.17 eV per cell. The value obtained for the uncorrected formation energy is 37 meV per atom. As for the crystal system: tetragonal. As for the total magnetic moment: 1.2 μB/cell.

---

Entry 3:
This record from the Alexandria database describes an optimized crystal structure of Al2Tc2Ni. The functional is GGA-PBE.

It has space group I4/mmm (No. 139), with a = 4.7157 Å, b = 4.7157 Å, c = 7.3933 Å, α = 90.00°, β = 90.00° and γ = 90.00°. The inequivalent atoms are Al at (0.0000, 0.5000, 0.2500), Tc at (0.0000, 0.0000, 0.1550) and Ni at (0.0000, 0.0000, 0.5000).

The theoretical density comes out at 6235 kg/m³. As for the total energy: -63.75 eV per cell. As for the energy relative to the elements: 425 meV/atom. As for the crystal system: tetragonal. As for the total magnetic moment: 0.0 μB/cell. The value obtained for the energy above the most stable polymorph in this dataset is 528 meV/atom.